[1]
# Li2CdMoS4, relaxed, DFT PBE
data_Li2CdMoS4
_symmetry_space_group_name_H-M 'P 1'
_symmetry_Int_Tables_number 1
_cell_length_a 7.986
_cell_length_b 6.910
_cell_length_c 6.477
_cell_angle_alpha 90.00
_cell_angle_beta 90.00
_cell_angle_gamma 90.00
loop_
_symmetry_equiv_pos_as_xyz
'x,y,z'
loop_
_atom_site_label
_atom_site_type_symbol
_atom_site_fract_x
_atom_site_fract_y
_atom_site_fract_z
_atom_site_occupancy
Li1 Li 0.248 0.169 0.000 1
Li2 Li 0.252 0.831 0.500 1
Li3 Li 0.748 0.831 0.500 1
Li4 Li 0.752 0.169 0.000 1
Cd1 Cd 0.000 0.342 0.501 1
Cd2 Cd 0.500 0.658 0.001 1
Mo1 Mo 0.000 0.674 0.001 1
Mo2 Mo 0.500 0.326 0.501 1
S1 S 0.000 0.354 0.899 1
S2 S 0.000 0.688 0.356 1
S3 S 0.233 0.833 0.878 1
S4 S 0.267 0.167 0.378 1
S5 S 0.500 0.312 0.856 1
S6 S 0.500 0.646 0.399 1
S7 S 0.733 0.167 0.378 1
S8 S 0.767 0.833 0.878 1
# size of the total moment	2.0	μB/f.u.
# total energy	-76.0	eV for the cell shown

=====

[2]
# LiCdNO, relaxed, DFT PBE
data_LiCdNO
_symmetry_space_group_name_H-M 'P 1'
_symmetry_Int_Tables_number 1
_cell_length_a 3.697
_cell_length_b 6.182
_cell_length_c 4.142
_cell_angle_alpha 90.00
_cell_angle_beta 90.00
_cell_angle_gamma 90.00
loop_
_symmetry_equiv_pos_as_xyz
'x,y,z'
loop_
_atom_site_label
_atom_site_type_symbol
_atom_site_fract_x
_atom_site_fract_y
_atom_site_fract_z
_atom_site_occupancy
Li1 Li 0.000 0.234 0.000 1
Li2 Li 0.000 0.766 0.500 1
Cd1 Cd 0.500 0.240 0.492 1
Cd2 Cd 0.500 0.760 0.992 1
N1 N 0.000 0.446 0.462 1
N2 N 0.000 0.554 0.962 1
O1 O 0.500 0.136 0.989 1
O2 O 0.500 0.864 0.489 1
# offset from the most stable computed form	0	meV per atom

=====

[3]
# LiCdNO, relaxed, DFT PBE
data_LiCdNO
_symmetry_space_group_name_H-M 'P 1'
_symmetry_Int_Tables_number 1
_cell_length_a 3.996
_cell_length_b 3.996
_cell_length_c 6.717
_cell_angle_alpha 90.00
_cell_angle_beta 90.00
_cell_angle_gamma 90.00
loop_
_symmetry_equiv_pos_as_xyz
'x,y,z'
loop_
_atom_site_label
_atom_site_type_symbol
_atom_site_fract_x
_atom_site_fract_y
_atom_site_fract_z
_atom_site_occupancy
Li1 Li 0.250 0.750 0.000 1
Li2 Li 0.750 0.250 0.000 1
Cd1 Cd 0.250 0.250 0.356 1
Cd2 Cd 0.750 0.750 0.644 1
N1 N 0.250 0.250 0.025 1
N2 N 0.750 0.750 0.975 1
O1 O 0.250 0.750 0.500 1
O2 O 0.750 0.250 0.500 1
# offset from the most stable computed form	198	meV per atom

=====

[4]
# LiCdNO, relaxed, DFT PBE
data_LiCdNO
_symmetry_space_group_name_H-M 'P 1'
_symmetry_Int_Tables_number 1
_cell_length_a 4.459
_cell_length_b 4.459
_cell_length_c 4.384
_cell_angle_alpha 90.00
_cell_angle_beta 90.00
_cell_angle_gamma 90.00
loop_
_symmetry_equiv_pos_as_xyz
'x,y,z'
loop_
_atom_site_label
_atom_site_type_symbol
_atom_site_fract_x
_atom_site_fract_y
_atom_site_fract_z
_atom_site_occupancy
Li1 Li 0.250 0.250 0.001 1
Li2 Li 0.750 0.750 0.999 1
Cd1 Cd 0.250 0.750 0.500 1
Cd2 Cd 0.750 0.250 0.500 1
N1 N 0.250 0.250 0.502 1
N2 N 0.750 0.750 0.498 1
O1 O 0.250 0.750 0.000 1
O2 O 0.750 0.250 0.000 1
# offset from the most stable computed form	83	meV per atom

=====

[5]
# LiCdNO, relaxed, DFT PBE
data_LiCdNO
_symmetry_space_group_name_H-M 'P 1'
_symmetry_Int_Tables_number 1
_cell_length_a 3.496
_cell_length_b 6.457
_cell_length_c 4.457
_cell_angle_alpha 90.00
_cell_angle_beta 90.00
_cell_angle_gamma 90.00
loop_
_symmetry_equiv_pos_as_xyz
'x,y,z'
loop_
_atom_site_label
_atom_site_type_symbol
_atom_site_fract_x
_atom_site_fract_y
_atom_site_fract_z
_atom_site_occupancy
Li1 Li 0.000 0.150 0.000 1
Li2 Li 0.000 0.850 0.500 1
Cd1 Cd 0.500 0.323 0.491 1
Cd2 Cd 0.500 0.677 0.991 1
N1 N 0.500 0.342 0.989 1
N2 N 0.500 0.658 0.489 1
O1 O 0.000 0.137 0.470 1
O2 O 0.000 0.863 0.970 1
# offset from the most stable computed form	114	meV per atom

=====

[6]
# LiCdNO, relaxed, DFT PBE
data_LiCdNO
_symmetry_space_group_name_H-M 'P 1'
_symmetry_Int_Tables_number 1
_cell_length_a 5.650
_cell_length_b 7.222
_cell_length_c 4.244
_cell_angle_alpha 90.00
_cell_angle_beta 90.00
_cell_angle_gamma 90.00
loop_
_symmetry_equiv_pos_as_xyz
'x,y,z'
loop_
_atom_site_label
_atom_site_type_symbol
_atom_site_fract_x
_atom_site_fract_y
_atom_site_fract_z
_atom_site_occupancy
Li1 Li 0.058 0.101 0.000 1
Li2 Li 0.442 0.101 0.500 1
Li3 Li 0.558 0.899 0.000 1
Li4 Li 0.942 0.899 0.500 1
Cd1 Cd 0.018 0.668 0.998 1
Cd2 Cd 0.482 0.668 0.498 1
Cd3 Cd 0.518 0.332 0.998 1
Cd4 Cd 0.982 0.332 0.498 1
N1 N 0.250 0.908 0.250 1
N2 N 0.250 0.908 0.750 1
N3 N 0.750 0.092 0.250 1
N4 N 0.750 0.092 0.750 1
O1 O 0.102 0.362 0.998 1
O2 O 0.398 0.362 0.498 1
O3 O 0.602 0.638 0.998 1
O4 O 0.898 0.638 0.498 1
# offset from the most stable computed form	5	meV per atom

=====

[7]
# Sr2LiCd2N3, relaxed, DFT PBE
data_Sr2LiCd2N3
_symmetry_space_group_name_H-M 'P 1'
_symmetry_Int_Tables_number 1
_cell_length_a 7.101
_cell_length_b 7.101
_cell_length_c 6.809
_cell_angle_alpha 95.74
_cell_angle_beta 95.74
_cell_angle_gamma 119.91
loop_
_symmetry_equiv_pos_as_xyz
'x,y,z'
loop_
_atom_site_label
_atom_site_type_symbol
_atom_site_fract_x
_atom_site_fract_y
_atom_site_fract_z
_atom_site_occupancy
Sr1 Sr 0.182 0.283 0.406 1
Sr2 Sr 0.283 0.182 0.906 1
Sr3 Sr 0.717 0.818 0.094 1
Sr4 Sr 0.818 0.717 0.594 1
Li1 Li 0.163 0.837 0.250 1
Li2 Li 0.837 0.163 0.750 1
Cd1 Cd 0.187 0.589 0.903 1
Cd2 Cd 0.411 0.813 0.597 1
Cd3 Cd 0.589 0.187 0.403 1
Cd4 Cd 0.813 0.411 0.097 1
N1 N 0.019 0.766 0.978 1
N2 N 0.234 0.981 0.522 1
N3 N 0.435 0.565 0.750 1
N4 N 0.565 0.435 0.250 1
N5 N 0.766 0.019 0.478 1
N6 N 0.981 0.234 0.022 1
# total energy	-66.6	eV for the cell shown

=====

[8]
# NaLi3Cd4, relaxed, DFT PBE
data_NaLi3Cd4
_symmetry_space_group_name_H-M 'P 1'
_symmetry_Int_Tables_number 1
_cell_length_a 4.751
_cell_length_b 4.751
_cell_length_c 6.727
_cell_angle_alpha 90.00
_cell_angle_beta 90.00
_cell_angle_gamma 90.00
loop_
_symmetry_equiv_pos_as_xyz
'x,y,z'
loop_
_atom_site_label
_atom_site_type_symbol
_atom_site_fract_x
_atom_site_fract_y
_atom_site_fract_z
_atom_site_occupancy
Na1 Na 0.000 0.000 0.000 1
Li1 Li 0.000 0.500 0.735 1
Li2 Li 0.500 0.000 0.265 1
Li3 Li 0.500 0.500 0.500 1
Cd1 Cd 0.000 0.000 0.500 1
Cd2 Cd 0.000 0.500 0.266 1
Cd3 Cd 0.500 0.000 0.734 1
Cd4 Cd 0.500 0.500 0.000 1
# total energy	-12.2	eV for the cell shown